An optimized crystal structure of AuSe3. Source: Alexandria via LeMat-Bulk, functional PBE.

Cell and atoms, written as extended XYZ:
```
4
Lattice="-3.303 2.263 -2.724 0.623 0.324 -4.791 -2.832 -2.550 -2.988" Properties=species:S:1:pos:R:3 pbc="T T T"
Se -4.134 0.028 -7.877
Se -1.378 0.009 -2.626
Se -2.756 0.019 -5.251
Au 0.000 0.000 0.000
```

The value obtained for the volume is 20.1 Å³/atom. The energy relative to the elements, uncorrected comes out at 0.569 eV per atom.